# CaSi4Ir4 (GGA-PBE, relaxed)
data_CaSi4Ir4
_space_group_name_H-M_alt 'P 42/n'
_space_group_IT_number 86
_cell_length_a 7.995
_cell_length_b 7.995
_cell_length_c 4.894
_cell_angle_alpha 90.00
_cell_angle_beta 90.00
_cell_angle_gamma 90.00
loop_
_space_group_symop_operation_xyz
'x,y,z'
'-x,-y,-z'
'-y,x+1/2,z+1/2'
'y,-x+1/2,-z+1/2'
'-x+1/2,-y+1/2,z'
'x+1/2,y+1/2,-z'
'y+1/2,-x,z+1/2'
'-y+1/2,x,-z+1/2'
loop_
_atom_site_label
_atom_site_fract_x
_atom_site_fract_y
_atom_site_fract_z
_atom_site_occupancy
Ca1 0.250 0.250 0.250 1
Si1 0.076 0.901 0.159 1
Ir1 0.104 0.891 0.657 1
# E_form (uncorrected)	-0.52	eV per atom
# E	-0.260	Ha/atom
# V	17.381	Å³ per atom